No. 1
Material: SrErZnCd
Method: DFT, PBE
State: relaxed

Properties
**ΔE_f**: -0.2050 eV per atom
**SG**: F-43m (216)
**DOS(E_F)**: 0.8956 states/eV/atom

a = 5.3635 Å, b = 5.3635 Å, c = 5.3635 Å
α = 60.00°, β = 60.00°, γ = 60.00°
Last column: nearest neighbours and their distance in Å.
Positions (direct):
Sr  0.0000  0.0000  0.0000  4 Cd 3.28, 4 Zn 3.28
Er  0.5000  0.5000  0.5000  4 Cd 3.28, 4 Zn 3.28
Zn  0.2500  0.2500  0.2500  4 Er 3.28, 4 Sr 3.28
Cd  0.7500  0.7500  0.7500  4 Sr 3.28, 4 Er 3.28

=====

No. 2
Material: Tb6Er3Cd
Method: DFT, PBE
State: relaxed

Properties
**ΔE_f**: -0.0188 eV per atom
**SG**: P2_1/m (11)
**Relative energy among the computed polymorphs**: 0.0 kJ per mole of atoms
**DOS(E_F)**: 1.3847 states/eV/atom

a = 10.9620 Å, b = 4.9883 Å, c = 11.1461 Å
α = 90.00°, β = 91.25°, γ = 90.00°
Last column: nearest neighbours and their distance in Å.
Positions (direct):
Tb  0.0472  0.2500  0.3969  1 Cd 3.41, 7 Tb 3.45-3.59, 4 Er 3.48-3.51
Tb  0.1410  0.7500  0.1868  3 Cd 3.37-3.38, 5 Tb 3.47-3.59, 4 Er 3.53-3.59
Tb  0.1524  0.2500  0.6927  8 Tb 3.43-3.51, 2 Er 3.52, 2 Cd 3.56
Tb  0.2388  0.2500  0.9953  3 Cd 3.41-3.42, 5 Tb 3.47-3.54, 4 Er 3.51-3.60
Tb  0.3468  0.7500  0.7988  1 Cd 3.44, 6 Tb 3.47-3.54, 5 Er 3.51-3.55
Tb  0.4490  0.2500  0.6022  5 Tb 3.43-3.57, 7 Er 3.49-3.59
Tb  0.5510  0.7500  0.3978  5 Tb 3.43-3.57, 7 Er 3.49-3.59
Tb  0.6532  0.2500  0.2012  1 Cd 3.44, 6 Tb 3.47-3.54, 5 Er 3.51-3.55
Tb  0.7612  0.7500  0.0047  3 Cd 3.41-3.42, 5 Tb 3.47-3.54, 4 Er 3.51-3.60
Tb  0.8476  0.7500  0.3073  8 Tb 3.43-3.51, 2 Er 3.52, 2 Cd 3.56
Tb  0.8590  0.2500  0.8132  3 Cd 3.37-3.38, 5 Tb 3.47-3.59, 4 Er 3.53-3.59
Tb  0.9528  0.7500  0.6031  1 Cd 3.41, 7 Tb 3.45-3.59, 4 Er 3.48-3.51
Er  0.2481  0.7500  0.4931  10 Tb 3.48-3.59, 2 Er 3.53
Er  0.3477  0.2500  0.2934  4 Er 3.50-3.53, 8 Tb 3.51-3.59
Er  0.4489  0.7500  0.0992  8 Tb 3.49-3.60, 4 Er 3.50-3.53
Er  0.5511  0.2500  0.9008  8 Tb 3.49-3.60, 4 Er 3.50-3.53
Er  0.6523  0.7500  0.7066  4 Er 3.50-3.53, 8 Tb 3.51-3.59
Er  0.7519  0.2500  0.5069  10 Tb 3.48-3.59, 2 Er 3.53
Cd  0.0508  0.7500  0.8957  10 Tb 3.37-3.56, 2 Cd 3.60
Cd  0.9492  0.2500  0.1043  10 Tb 3.37-3.56, 2 Cd 3.60

=====

No. 3
Material: TbEr6Cd2
Method: DFT, PBE
State: relaxed

Properties
**ΔE_f**: -0.1254 eV per atom
**SG**: C2/m (12)
**DOS(E_F)**: 1.0797 states/eV/atom

a = 6.5240 Å, b = 6.5240 Å, c = 11.7718 Å
α = 107.82°, β = 107.82°, γ = 32.97°
Last column: nearest neighbours and their distance in Å.
Positions (direct):
Tb  0.0000  0.0000  0.0000  4 Cd 3.18
Er  0.0144  0.0144  0.3403  2 Cd 3.18, 7 Er 3.47-3.55
Er  0.3131  0.3131  0.4173  2 Cd 3.22, 8 Er 3.42-3.55
Er  0.3154  0.3154  0.1235  2 Cd 3.21, 5 Er 3.39-3.48
Er  0.6846  0.6846  0.8765  2 Cd 3.21, 5 Er 3.39-3.48
Er  0.6869  0.6869  0.5827  2 Cd 3.22, 8 Er 3.42-3.55
Er  0.9856  0.9856  0.6597  2 Cd 3.18, 7 Er 3.47-3.55
Cd  0.3524  0.3524  0.7886  2 Tb 3.18, 6 Er 3.18-3.22
Cd  0.6476  0.6476  0.2114  2 Tb 3.18, 6 Er 3.18-3.22

=====

No. 4
Material: Tb8ErCd2
Method: DFT, PBE
State: relaxed

Properties
**ΔE_f**: 0.0306 eV per atom
**SG**: C2/m (12)
**DOS(E_F)**: 1.2666 states/eV/atom

a = 8.7551 Å, b = 8.7551 Å, c = 5.5833 Å
α = 101.17°, β = 101.17°, γ = 119.94°
Last column: nearest neighbours and their distance in Å.
Positions (direct):
Tb  0.0947  0.3192  0.6136  2 Cd 3.13-3.38, 3 Tb 3.35-3.50
Tb  0.2189  0.7811  0.0000  2 Cd 3.09, 1 Er 3.32
Tb  0.3192  0.0947  0.6136  2 Cd 3.13-3.38, 3 Tb 3.35-3.50
Tb  0.3997  0.3997  0.2018  2 Tb 3.11-3.35, 1 Er 3.24, 2 Cd 3.33
Tb  0.6003  0.6003  0.7982  2 Tb 3.11-3.35, 1 Er 3.24, 2 Cd 3.33
Tb  0.6808  0.9053  0.3864  2 Cd 3.13-3.38, 3 Tb 3.35-3.50
Tb  0.7811  0.2189  0.0000  2 Cd 3.09, 1 Er 3.32
Tb  0.9053  0.6808  0.3864  2 Cd 3.13-3.38, 3 Tb 3.35-3.50
Er  0.0000  0.0000  0.0000  8 Tb 3.24-3.62
Cd  0.3056  0.6944  0.5000  8 Tb 3.09-3.38
Cd  0.6944  0.3056  0.5000  8 Tb 3.09-3.38

=====

No. 5
Material: Tb5ErCd6
Method: DFT, PBE
State: relaxed

Properties
**ΔE_f**: -0.3185 eV per atom
**SG**: Cmmm (65)
**DOS(E_F)**: 1.2248 states/eV/atom

a = 8.3789 Å, b = 8.3789 Å, c = 7.5301 Å
α = 90.00°, β = 90.00°, γ = 143.18°
Last column: nearest neighbours and their distance in Å.
Positions (direct):
Tb  0.0000  0.0000  0.0000  8 Cd 3.25
Tb  0.3324  0.6676  0.0000  8 Cd 3.26-3.27
Tb  0.3340  0.6660  0.5000  8 Cd 3.24-3.26
Tb  0.6660  0.3340  0.5000  8 Cd 3.24-3.26
Tb  0.6676  0.3324  0.0000  8 Cd 3.26-3.27
Er  0.0000  0.0000  0.5000  8 Cd 3.23-3.24
Cd  0.1657  0.8343  0.2519  1 Er 3.23, 7 Tb 3.24-3.26
Cd  0.1657  0.8343  0.7481  1 Er 3.23, 7 Tb 3.24-3.26
Cd  0.5000  0.5000  0.2513  6 Tb 3.24-3.27, 2 Er 3.24
Cd  0.5000  0.5000  0.7487  6 Tb 3.24-3.27, 2 Er 3.24
Cd  0.8343  0.1657  0.2519  1 Er 3.23, 7 Tb 3.24-3.26
Cd  0.8343  0.1657  0.7481  1 Er 3.23, 7 Tb 3.24-3.26

=====

No. 6
Material: Tb3ErCd3
Method: DFT, PBE
State: relaxed

Properties
**ΔE_f**: -0.1367 eV per atom
**SG**: Cmmm (65)
**DOS(E_F)**: 1.1279 states/eV/atom

a = 7.5623 Å, b = 7.5623 Å, c = 6.9434 Å
α = 90.00°, β = 90.00°, γ = 90.90°
Last column: nearest neighbours and their distance in Å.
Positions (direct):
Tb  0.2002  0.2002  0.5000  4 Cd 3.24, 2 Tb 3.53, 2 Er 3.59
Tb  0.2107  0.7893  0.0000  6 Cd 3.21-3.55, 2 Er 3.53, 2 Tb 3.56
Tb  0.2581  0.2581  0.0000  6 Cd 3.08-3.22
Tb  0.7419  0.7419  0.0000  6 Cd 3.08-3.22
Tb  0.7893  0.2107  0.0000  6 Cd 3.21-3.55, 2 Er 3.53, 2 Tb 3.56
Tb  0.7998  0.7998  0.5000  4 Cd 3.24, 2 Tb 3.53, 2 Er 3.59
Er  0.2687  0.7313  0.5000  6 Cd 3.06-3.17
Er  0.7313  0.2687  0.5000  6 Cd 3.06-3.17
Cd  0.0000  0.5000  0.2525  2 Er 3.17, 6 Tb 3.21-3.24, 2 Cd 3.44-3.51
Cd  0.0000  0.5000  0.7475  2 Er 3.17, 6 Tb 3.21-3.24, 2 Cd 3.44-3.51
Cd  0.5000  0.0000  0.2525  2 Er 3.17, 6 Tb 3.21-3.24, 2 Cd 3.44-3.51
Cd  0.5000  0.0000  0.7475  2 Er 3.17, 6 Tb 3.21-3.24, 2 Cd 3.44-3.51
Cd  0.5000  0.5000  0.2445  2 Er 3.06, 2 Tb 3.08, 1 Cd 3.40
Cd  0.5000  0.5000  0.7555  2 Er 3.06, 2 Tb 3.08, 1 Cd 3.40

=====

No. 7
Material: Tb2Er4Cd
Method: DFT, PBE
State: relaxed

Properties
**ΔE_f**: 0.0470 eV per atom
**SG**: C2/m (12)
**DOS(E_F)**: 1.3745 states/eV/atom

a = 8.3688 Å, b = 8.3688 Å, c = 8.4046 Å
α = 116.65°, β = 116.65°, γ = 23.92°
Last column: nearest neighbours and their distance in Å.
Positions (direct):
Tb  0.2186  0.2186  0.1416  1 Cd 3.21, 6 Er 3.34-3.53, 4 Tb 3.46-3.47
Tb  0.7814  0.7814  0.8584  1 Cd 3.21, 6 Er 3.34-3.53, 4 Tb 3.46-3.47
Er  0.0797  0.0797  0.7017  5 Er 3.19-3.51, 1 Cd 3.32, 3 Tb 3.34-3.41
Er  0.3694  0.3694  0.6055  8 Er 3.47-3.88, 2 Cd 3.47, 3 Tb 3.52-3.53
Er  0.6306  0.6306  0.3945  8 Er 3.47-3.88, 2 Cd 3.47, 3 Tb 3.52-3.53
Er  0.9203  0.9203  0.2983  5 Er 3.19-3.51, 1 Cd 3.32, 3 Tb 3.34-3.41
Cd  0.0000  0.0000  0.0000  2 Tb 3.21, 6 Er 3.32-3.47, 2 Cd 3.47

=====

No. 8
Material: Tb6ErCd
Method: DFT, PBE
State: relaxed

Properties
**ΔE_f**: 0.0479 eV per atom
**SG**: R-3 (148)
**Relative energy among the computed polymorphs**: 7.8 kJ per mole of atoms
**DOS(E_F)**: 1.4463 states/eV/atom

a = 6.3032 Å, b = 6.3032 Å, c = 6.3032 Å
α = 94.34°, β = 94.34°, γ = 94.34°
Last column: nearest neighbours and their distance in Å.
Positions (direct):
Tb  0.0401  0.7581  0.5502  1 Cd 3.15, 2 Tb 3.23-3.26, 1 Er 3.45
Tb  0.2419  0.4498  0.9599  1 Cd 3.15, 2 Tb 3.23-3.26, 1 Er 3.45
Tb  0.4498  0.9599  0.2419  1 Cd 3.15, 2 Tb 3.23-3.26, 1 Er 3.45
Tb  0.5502  0.0401  0.7581  1 Cd 3.15, 2 Tb 3.23-3.26, 1 Er 3.45
Tb  0.7581  0.5502  0.0401  1 Cd 3.15, 2 Tb 3.23-3.26, 1 Er 3.45
Tb  0.9599  0.2419  0.4498  1 Cd 3.15, 2 Tb 3.23-3.26, 1 Er 3.45
Er  0.5000  0.5000  0.5000  12 Tb 3.45-3.64
Cd  0.0000  0.0000  0.0000  6 Tb 3.15

=====

No. 9
Material: Tb5Er2Cd
Method: DFT, PBE
State: relaxed

Properties
**ΔE_f**: -0.0024 eV per atom
**SG**: I4mm (107)
**DOS(E_F)**: 0.9730 states/eV/atom

a = 6.8224 Å, b = 6.8224 Å, c = 6.8224 Å
α = 107.11°, β = 107.11°, γ = 114.30°
Last column: nearest neighbours and their distance in Å.
Positions (direct):
Tb  0.0000  0.0000  0.0000  1 Cd 3.12, 8 Tb 3.44-3.47
Tb  0.4613  0.4613  0.5486  2 Cd 3.25-3.59, 4 Er 3.40-3.45, 2 Tb 3.44-3.47
Tb  0.4613  0.9127  0.0000  2 Cd 3.25-3.59, 4 Er 3.40-3.45, 2 Tb 3.44-3.47
Tb  0.9127  0.4613  0.0000  2 Cd 3.25-3.59, 4 Er 3.40-3.45, 2 Tb 3.44-3.47
Tb  0.9127  0.9127  0.4514  2 Cd 3.25-3.59, 4 Er 3.40-3.45, 2 Tb 3.44-3.47
Er  0.4312  0.9312  0.5000  8 Tb 3.40-3.45, 2 Er 3.70
Er  0.9312  0.4312  0.5000  8 Tb 3.40-3.45, 2 Er 3.70
Cd  0.4211  0.4211  0.0000  5 Tb 3.12-3.25

=====

No. 10
Material: Tb7Er12Cd
Method: DFT, PBE
State: relaxed

Properties
**ΔE_f**: 0.1466 eV per atom
**SG**: P-1 (2)
**DOS(E_F)**: 1.5319 states/eV/atom

a = 8.7724 Å, b = 8.7762 Å, c = 8.8484 Å
α = 70.40°, β = 83.41°, γ = 77.60°
Last column: nearest neighbours and their distance in Å.
Positions (direct):
Tb  0.0000  0.0000  0.0000  6 Er 2.99-3.17
Tb  0.0991  0.4974  0.6526  6 Er 3.29-3.60, 2 Tb 3.36-3.53, 1 Cd 3.62
Tb  0.3351  0.7868  0.6844  6 Er 3.41-3.69, 1 Cd 3.43, 2 Tb 3.56-3.70
Tb  0.3740  0.3754  0.9521  8 Er 3.32-3.67, 2 Tb 3.53-3.56
Tb  0.6260  0.6246  0.0479  8 Er 3.32-3.67, 2 Tb 3.53-3.56
Tb  0.6649  0.2132  0.3156  6 Er 3.41-3.69, 1 Cd 3.43, 2 Tb 3.56-3.70
Tb  0.9009  0.5026  0.3474  6 Er 3.29-3.60, 2 Tb 3.36-3.53, 1 Cd 3.62
Er  0.0113  0.8790  0.3797  2 Tb 3.17-3.40, 3 Er 3.33-3.50
Er  0.0170  0.6832  0.9331  2 Tb 3.00-3.34, 1 Er 3.10
Er  0.2635  0.5582  0.2599  1 Cd 2.98, 1 Tb 3.29
Er  0.2691  0.1479  0.3298  7 Er 3.31-3.61, 3 Tb 3.41-3.63
Er  0.3417  0.9421  0.0507  2 Tb 2.99-3.32, 1 Er 3.10
Er  0.3887  0.1670  0.6630  1 Cd 3.11, 3 Er 3.31-3.42, 2 Tb 3.40-3.41
Er  0.6113  0.8330  0.3370  1 Cd 3.11, 3 Er 3.31-3.42, 2 Tb 3.40-3.41
Er  0.6583  0.0579  0.9493  2 Tb 2.99-3.32, 1 Er 3.10
Er  0.7309  0.8521  0.6702  7 Er 3.31-3.61, 3 Tb 3.41-3.63
Er  0.7365  0.4418  0.7401  1 Cd 2.98, 1 Tb 3.29
Er  0.9830  0.3168  0.0669  2 Tb 3.00-3.34, 1 Er 3.10
Er  0.9887  0.1210  0.6203  2 Tb 3.17-3.40, 3 Er 3.33-3.50
Cd  0.5000  0.5000  0.5000  4 Er 2.98-3.11